{
  "formula": "ScBiTe2",
  "functional": "PBE",
  "state": "relaxed",
  "lattice": [[2.309, 0.000, 9.661], [-1.155, 2.000, 9.661], [-1.155, -2.000, 9.661]],
  "species": ["Sc", "Te", "Bi", "Te"],
  "fractional_positions": [[0.500, 0.500, 0.500], [0.893, 0.893, 0.893], [0.000, 0.000, 0.000], [0.107, 0.107, 0.107]],
  "dos_at_fermi_per_ev_fu": 1.2,
  "e_tot_ev_per_cell": -19.18,
  "e_form_raw_ev_per_atom": -0.670,
  "magnetic_moment_mub_per_atom": 0.0000
}